# La2SmScO

A relaxed structure of La2SmScO (GGA-PBE, Alexandria via LeMat-Bulk).

Cell lengths 4.323, 5.418, 5.418 Å; angles 90.00, 90.00, 90.00 degrees
Fractional coordinates of all 5 atoms:
La: 0.000 0.000 0.500
La: 0.000 0.500 0.000
Sm: 0.500 0.500 0.500
Sc: 0.500 0.000 0.000
O: 0.000 0.000 0.000

Formation energy from raw total energies   -1143 meV/atom
SG   P4/mmm